(1)
Crystalline LiTa2Be at its relaxed geometry. Source: the Alexandria database, functional PBE-GGA.

Values from the calculation:
Its density is 10.28 g/cm3. As for the density of states at the Fermi level: 2.68 states/eV/cell. The size of the total moment is 0.000 Bohr magnetons per cell. Its space group is P4mm. Its crystal system is tetragonal. The calculation puts the energy relative to the elements at 0.235 eV per atom.

```
LiTa2Be
1.0
2.776 0.000 0.000
0.000 2.776 0.000
0.000 0.000 7.918
Be Li Ta
1 1 2
Direct
0.000 0.000 0.508
0.500 0.500 0.703
0.500 0.500 0.294
0.000 0.000 0.995
```

---

(2)
Crystalline LiTa2Be at its relaxed geometry. Source: the Alexandria database, functional PBE-GGA.

Values from the calculation:
Its density is 9.47 g/cm3. As for the density of states at the Fermi level: 1.91 states/eV/cell. The size of the total moment is 0.000 Bohr magnetons per cell. Its space group is C2/m. Its crystal system is monoclinic. The calculation puts the energy relative to the elements at 0.397 eV per atom.

```
LiTa2Be
1.0
5.402 0.007 -0.061
4.786 2.505 -0.061
1.371 0.338 4.889
Ta Li Be
2 1 1
Direct
0.468 0.468 0.522
0.032 0.032 0.978
0.250 0.250 0.250
0.750 0.750 0.750
```

---

(3)
Crystalline LiTa2Be at its relaxed geometry. Source: the Alexandria database, functional PBE-GGA.

Values from the calculation:
Its density is 10.91 g/cm3. As for the density of states at the Fermi level: 1.89 states/eV/cell. The size of the total moment is 0.000 Bohr magnetons per cell. Its space group is Pmmm. Its crystal system is orthorhombic. The calculation puts the energy relative to the elements at 0.332 eV per atom.

```
LiTa2Be
1.0
-1.119 -1.336 -2.204
1.674 -3.004 0.971
-4.520 -1.486 3.195
Be Ta Li
1 2 1
Direct
0.500 0.500 0.250
0.000 0.000 0.491
0.000 0.000 0.009
0.500 0.500 0.750
```

---

(4)
Crystalline LiTaBe2W at its relaxed geometry. Source: the Alexandria database, functional PBE-GGA.

Values from the calculation:
Its density is 8.59 g/cm3. As for the density of states at the Fermi level: 4.33 states/eV/cell. The size of the total moment is 0.434 Bohr magnetons per cell. Its space group is P4/mmm. Its crystal system is tetragonal. The calculation puts the energy relative to the elements at 2.011 eV per atom.

```
LiTaBe2W
1.0
4.235 0.000 0.000
0.000 4.201 0.000
0.000 0.000 4.235
Li W Ta Be
1 1 1 2
Direct
0.000 0.500 0.000
0.500 0.500 0.500
0.000 0.000 0.000
0.000 0.000 0.500
0.500 0.000 0.000
```

---

(5)
Crystalline LiBeTc2 at its relaxed geometry. Source: the Alexandria database, functional PBE-GGA.

Values from the calculation:
Its density is 6.51 g/cm3. As for the density of states at the Fermi level: 3.40 states/eV/cell. The size of the total moment is 0.000 Bohr magnetons per cell. Its space group is Immm. Its crystal system is orthorhombic. The calculation puts the energy relative to the elements at 0.193 eV per atom. The calculation puts the energy above the most stable polymorph in this dataset at 159.2 meV/atom.

```
LiBeTc2
1.0
5.390 0.007 0.029
4.733 2.578 0.029
1.680 0.429 3.913
Tc Be Li
2 1 1
Direct
0.041 0.041 0.959
0.459 0.459 0.541
0.750 0.750 0.750
0.250 0.250 0.250
```

---

(6)
Crystalline Li2BeTc at its relaxed geometry. Source: the Alexandria database, functional PBE-GGA.

Values from the calculation:
Its density is 4.14 g/cm3. As for the density of states at the Fermi level: 2.62 states/eV/cell. The size of the total moment is 0.001 Bohr magnetons per cell. Its space group is I4/mmm. Its crystal system is tetragonal. The calculation puts the energy relative to the elements at 0.257 eV per atom. The calculation puts the energy above the most stable polymorph in this dataset at 112.8 meV/atom.

```
Li2BeTc
1.0
5.028 -0.001 0.000
2.862 4.134 0.000
-3.945 -2.067 2.334
Be Li Tc
1 2 1
Direct
0.750 0.250 0.500
0.500 0.500 0.000
0.000 0.000 0.000
0.250 0.750 0.500
```

---

Number 1: electronic total energy -7.10 eV/atom. Number 2: electronic total energy -6.94 eV/atom. Number 3: electronic total energy -7.00 eV/atom. Number 4: electronic total energy -4.82 eV/atom. Number 5: electronic total energy -6.40 eV/atom. Number 6: electronic total energy -4.22 eV/atom.